Computed, not measured: a geometry-optimized NaCr2NiO8 structure at the PBE+U level of DFT.

## Properties
Calculated total energy ... -0.21931 hartree per atom
Total moment ... 0.258 μB/atom

a = 7.940 Å, b = 7.940 Å, c = 7.940 Å
α = 36.83°, β = 36.83°, γ = 36.83°
Sites, in units of the cell vectors:
Na: 0.000 0.000 0.000
Cr: 0.243 0.243 0.243
Cr: 0.757 0.757 0.757
Ni: 0.500 0.500 0.500
O: 0.115 0.480 0.746
O: 0.254 0.885 0.520
O: 0.316 0.316 0.316
O: 0.480 0.746 0.115
O: 0.520 0.254 0.885
O: 0.684 0.684 0.684
O: 0.746 0.115 0.480
O: 0.885 0.520 0.254